A geometry-optimized ScPbBr2 structure. Source: Alexandria via LeMat-Bulk, functional PBE. Values from VASP.

Values from the calculation:
**ΔE_f (raw)**: -407.0 meV per atom
**Energy**: -3.753 eV/atom
**Crystal system**: tetragonal
**ΔE to the lowest computed polymorph**: 575 meV/atom

The structure in Quantum ESPRESSO input format:
```
&SYSTEM
  ibrav = 0, nat = 4, ntyp = 3
/
ATOMIC_SPECIES
Br 79.90 Br.upf
Sc 44.96 Sc.upf
Pb 207.20 Pb.upf
CELL_PARAMETERS angstrom
-3.437 4.159 3.836
-4.918 -1.754 4.069
6.190 -1.618 -1.698
ATOMIC_POSITIONS crystal
Br 0.250 0.750 0.500
Br 0.000 0.000 0.000
Sc 0.750 0.250 0.500
Pb 0.500 0.500 0.000
```